Entry w
ZrZnCl2 | PBE | relaxed Values from VASP.

Structure (Quantum ESPRESSO input):
```
&SYSTEM
  ibrav = 0, nat = 4, ntyp = 3
/
ATOMIC_SPECIES
Zr 91.22 Zr.upf
Cl 35.45 Cl.upf
Zn 65.41 Zn.upf
CELL_PARAMETERS angstrom
-2.603 -2.069 0.298
2.761 -1.186 -1.456
3.239 -2.857 8.467
ATOMIC_POSITIONS crystal
Zr 0.500 0.500 0.734
Cl 0.000 0.000 0.938
Cl 0.500 0.500 0.331
Zn 0.000 0.000 0.497
```

DOS at the Fermi energy = 0.5 states/eV per cell
volume = 23.47 Å³ per atom


Entry x
ZrZnCl2 | PBE | relaxed Values from VASP.

Structure (Quantum ESPRESSO input):
```
&SYSTEM
  ibrav = 0, nat = 4, ntyp = 3
/
ATOMIC_SPECIES
Zn 65.41 Zn.upf
Cl 35.45 Cl.upf
Zr 91.22 Zr.upf
CELL_PARAMETERS angstrom
-1.215 -2.641 -1.612
0.062 -1.752 2.824
-7.449 2.414 1.660
ATOMIC_POSITIONS crystal
Zn 0.000 0.000 0.512
Cl 0.500 0.500 0.348
Cl 0.000 0.000 0.919
Zr 0.500 0.500 0.722
```

DOS at the Fermi energy = 2.3 states/eV per cell
volume = 22.11 Å³ per atom


Entry y
ZrZnCl2 | PBE | relaxed Values from VASP.

Structure (Quantum ESPRESSO input):
```
&SYSTEM
  ibrav = 0, nat = 8, ntyp = 3
/
ATOMIC_SPECIES
Cl 35.45 Cl.upf
Zn 65.41 Zn.upf
Zr 91.22 Zr.upf
CELL_PARAMETERS angstrom
-3.549 5.730 5.404
-1.918 -6.377 5.503
-0.184 0.030 6.752
ATOMIC_POSITIONS crystal
Cl 0.875 0.994 0.750
Cl 0.375 0.256 0.750
Cl 0.006 0.625 0.250
Cl 0.744 0.125 0.250
Zn 0.250 0.750 0.500
Zn 0.500 0.500 0.000
Zr 0.750 0.250 0.500
Zr 0.000 0.000 0.000
```

DOS at the Fermi energy = 7.4 states/eV per cell
volume = 26.90 Å³ per atom


Entry z
ZrZnCl2 | PBE | relaxed Values from VASP.

Structure (Quantum ESPRESSO input):
```
&SYSTEM
  ibrav = 0, nat = 4, ntyp = 3
/
ATOMIC_SPECIES
Cl 35.45 Cl.upf
Zn 65.41 Zn.upf
Zr 91.22 Zr.upf
CELL_PARAMETERS angstrom
3.514 -0.006 0.000
-2.057 2.848 0.000
0.000 0.000 10.885
ATOMIC_POSITIONS crystal
Cl 0.000 0.000 0.934
Cl 0.000 0.000 0.566
Zn 0.500 0.500 0.250
Zr 0.500 0.500 0.750
```

DOS at the Fermi energy = 1.7 states/eV per cell
volume = 27.20 Å³ per atom


Energy ordering: entry w at the bottom, the next structure 9 meV/atom above.


Entry w
ZrZnCl3 | PBE | relaxed Values from VASP.

Structure (Quantum ESPRESSO input):
```
&SYSTEM
  ibrav = 0, nat = 5, ntyp = 3
/
ATOMIC_SPECIES
Cl 35.45 Cl.upf
Zn 65.41 Zn.upf
Zr 91.22 Zr.upf
CELL_PARAMETERS angstrom
-0.163 4.751 1.047
-1.609 0.936 -4.498
-4.591 -0.497 1.539
ATOMIC_POSITIONS crystal
Cl 0.000 0.500 0.000
Cl 0.500 0.000 0.000
Cl 0.000 0.000 0.500
Zn 0.000 0.000 0.000
Zr 0.500 0.500 0.500
```

DOS at the Fermi energy = 4.6 states/eV per cell
volume = 23.07 Å³ per atom


Entry x
ZrZnCl3 | PBE | relaxed Values from VASP.

Structure (Quantum ESPRESSO input):
```
&SYSTEM
  ibrav = 0, nat = 5, ntyp = 3
/
ATOMIC_SPECIES
Cl 35.45 Cl.upf
Zn 65.41 Zn.upf
Zr 91.22 Zr.upf
CELL_PARAMETERS angstrom
-0.509 4.734 1.809
0.878 -1.708 4.717
4.991 0.783 -0.645
ATOMIC_POSITIONS crystal
Cl 0.500 0.000 0.000
Cl 0.000 0.000 0.500
Cl 0.000 0.500 0.000
Zn 0.500 0.500 0.500
Zr 0.000 0.000 0.000
```

DOS at the Fermi energy = 2.1 states/eV per cell
volume = 26.43 Å³ per atom


Energy ordering: entry x at the bottom, the next structure 792 meV/atom above.